Entry 1:
Material: YScCu2
Method: DFT, PBE
State: relaxed

Cell: 6.7560 6.7560 6.7560 Å, 90.00 90.00 90.00°
Last column: nearest neighbours and their distance in Å.
Space group Fm-3m (No. 225)
Inequivalent atoms, fractional coordinates:
Y: 0.0000 0.0000 0.0000 [4 per cell]  8 Cu 2.93
Sc: 0.0000 0.0000 0.5000 [4 per cell]  8 Cu 2.93
Cu: 0.2500 0.2500 0.2500 [8 per cell]  4 Sc 2.93, 4 Y 2.93

Summary:
Formation enthalpy at 0 K   -240 meV/atom
Fermi-level density of states   7.134 states/eV/cell
Energy relative to the lowest polymorph listed for this composition   0.015 eV per atom
Total magnetization   0.0 μB/cell

=====

Entry 2:
Material: YSc4Cu
Method: DFT, PBE
State: relaxed

Cell: 8.4180 8.4180 8.4180 Å, 90.00 90.00 90.00°
Last column: nearest neighbours and their distance in Å.
Space group F-43m (No. 216)
Inequivalent atoms, fractional coordinates:
Y: 0.0000 0.0000 0.0000 [4 per cell]  12 Sc 3.49, 4 Cu 3.65
Sc: 0.1255 0.1255 0.3745 [16 per cell]  6 Sc 2.97-2.99
Cu: 0.2500 0.2500 0.7500 [4 per cell]  12 Sc 3.49, 4 Y 3.65

Summary:
Formation enthalpy at 0 K   393 meV/atom
Fermi-level density of states   42.804 states/eV/cell
Total magnetization   0.0 μB/cell

=====

Entry 3:
Material: YScCu
Method: DFT, PBE
State: relaxed

Cell: 4.5663 4.5663 3.8314 Å, 90.00 90.00 120.00°
Last column: nearest neighbours and their distance in Å.
Space group P3m1 (No. 156)
Inequivalent atoms, fractional coordinates:
Y: 0.0000 0.0000 0.0000 [1 per cell]  6 Cu 3.22-3.30, 6 Sc 3.26
Sc: 0.3333 0.6667 0.5016 [1 per cell]  3 Cu 2.64
Cu: 0.6667 0.3333 0.4836 [1 per cell]  3 Sc 2.64

Summary:
Formation enthalpy at 0 K   10 meV/atom
Fermi-level density of states   2.842 states/eV/cell
Energy relative to the lowest polymorph listed for this composition   0.191 eV per atom
Total magnetization   0.0 μB/cell

=====

Entry 4:
Material: YSc2Cu
Method: DFT, PBE
State: relaxed

Cell: 3.4710 3.4710 27.7036 Å, 90.00 90.00 120.00°
Last column: nearest neighbours and their distance in Å.
Space group R3m (No. 160, hexagonal axes)
Inequivalent atoms, fractional coordinates:
Y: 0.0000 0.0000 0.0000 [3 per cell]  6 Sc 3.40-3.47, 6 Y 3.47
Sc: 0.0000 0.0000 0.2343 [3 per cell]  3 Cu 2.70
Sc: 0.0000 0.0000 0.4357 [3 per cell]  3 Cu 2.73
Cu: 0.0000 0.0000 0.8358 [3 per cell]  6 Sc 2.70-2.73

Summary:
Formation enthalpy at 0 K   48 meV/atom
Fermi-level density of states   15.269 states/eV/cell
Energy relative to the lowest polymorph listed for this composition   0.160 eV per atom
Total magnetization   1.5 μB/cell

=====

Entry 5:
Material: Y2ScCu
Method: DFT, PBE
State: relaxed

Cell: 3.4597 3.4597 8.3570 Å, 90.00 90.00 90.00°
Last column: nearest neighbours and their distance in Å.
Space group P4/mmm (No. 123)
Inequivalent atoms, fractional coordinates:
Y: 0.0000 0.0000 0.2106 [2 per cell]  4 Cu 3.01
Sc: 0.5000 0.5000 0.5000 [1 per cell]  8 Y 3.44, 4 Sc 3.46
Cu: 0.5000 0.5000 0.0000 [1 per cell]  8 Y 3.01

Summary:
Formation enthalpy at 0 K   -69 meV/atom
Fermi-level density of states   6.916 states/eV/cell
Energy relative to the lowest polymorph listed for this composition   0.032 eV per atom
Total magnetization   0.0 μB/cell

=====

Entry 6:
Material: YScCu2
Method: DFT, PBE
State: relaxed

Cell: 4.7806 4.7806 3.3690 Å, 90.00 90.00 90.00°
Last column: nearest neighbours and their distance in Å.
Space group P4/mmm (No. 123)
Inequivalent atoms, fractional coordinates:
Y: 0.0000 0.0000 0.0000 [1 per cell]  8 Cu 2.92
Sc: 0.5000 0.5000 0.0000 [1 per cell]  8 Cu 2.92
Cu: 0.0000 0.5000 0.5000 [2 per cell]  4 Sc 2.92, 4 Y 2.92

Summary:
Formation enthalpy at 0 K   -230 meV/atom
Fermi-level density of states   2.374 states/eV/cell
Energy relative to the lowest polymorph listed for this composition   0.025 eV per atom
Total magnetization   0.0 μB/cell

=====

Q: What is the formula in the fifth record?
A: Y2ScCu

=====

Q: Among the records above, which one has the lowest formation enthalpy at 0 K?
A: number 1